8
Lattice="3.397 0.000 0.000 0.000 4.966 0.000 0.000 0.000 10.396" Properties=species:S:1:pos:R:3 comment="BaTa2Mo (PBE, optimized geometry)" volume_a3_per_cell=175 n_ef_per_ev_cell=10.7 sg="Cmm2 (35)" formation_enthalpy_0k_ev_per_atom=0.71 pbc="T T T"
Ba 0.000 0.000 0.000
Ba 1.699 2.483 0.000
Ta 0.000 0.000 5.426
Ta 0.000 2.483 3.197
Ta 1.699 0.000 3.197
Ta 1.699 2.483 5.426
Mo 0.000 2.483 7.454
Mo 1.699 0.000 7.454